## ScB4Rh12 (GGA-PBE)

Data for ScB4Rh12 after structural relaxation.

Summary:
Its space-group type is Im-3, No. 204. The magnetic moment is 0.0 μB per cell. The value obtained for the calculated total energy is -7.31 eV/atom. The calculation puts the energy relative to the elements at -0.18 eV per atom.

abc: 6.6867 6.6867 6.6867
angles: 109.47 109.47 109.47
Sites, in units of the cell vectors:
Rh 0.6840 0.5135 0.8295
Rh 0.3160 0.4865 0.1705
Rh 0.1705 0.6840 0.8545
Rh 0.6840 0.8545 0.1705
Rh 0.4865 0.1705 0.3160
Rh 0.1455 0.8295 0.3160
Rh 0.5135 0.8295 0.6840
Rh 0.1705 0.3160 0.4865
Rh 0.8295 0.3160 0.1455
Rh 0.8545 0.1705 0.6840
Rh 0.3160 0.1455 0.8295
Rh 0.8295 0.6840 0.5135
B 0.5000 0.5000 0.5000
B 0.0000 0.0000 0.5000
B 0.5000 0.0000 0.0000
B 0.0000 0.5000 0.0000
Sc 0.0000 0.0000 0.0000

***

## ScBRh (GGA-PBE)

Data for ScBRh after structural relaxation.

Summary:
As for the energy above the lowest structure with this stoichiometry: 42 meV per atom. Its space-group type is Cm, No. 8. The magnetic moment is 0.0 μB per cell. The value obtained for the calculated total energy is -7.46 eV/atom. The calculation puts the energy relative to the elements at -0.68 eV per atom.

abc: 5.6637 4.8439 7.9095
angles: 90.00 133.96 90.00
Sites, in units of the cell vectors:
B 0.5346 0.8210 0.5238
B 0.5346 0.3210 0.0238
B 0.5346 0.6790 0.0238
B 0.5346 0.1790 0.5238
Rh 0.6533 0.5000 0.8177
Rh 0.0403 0.0000 0.8372
Rh 0.6533 0.0000 0.3177
Rh 0.0403 0.5000 0.3372
Sc 0.3275 0.5000 0.1796
Sc 0.9960 0.0000 0.1619
Sc 0.9960 0.5000 0.6619
Sc 0.3275 0.0000 0.6796